KTa2Hg: optimized geometry, PBE-GGA.

Unit cell a=2.9686 b=6.0240 c=11.2895 alpha=90.00 beta=90.00 gamma=90.00
Last column: nearest neighbours and their distance in Å.
Space group Imm2 (No. 44)
Symmetry-distinct sites (fractional):
K 0.0000 0.0000 0.0000 x2  2 K 2.97
Ta 0.0000 0.0000 0.5106 x2  2 Ta 2.61
Ta 0.0000 0.5000 0.2008 x2  2 Ta 2.61
Hg 0.0000 0.5000 0.7776 x2  2 Hg 2.97, 2 Ta 3.02

Calculated values
The total energy is -0.1934 Ha/atom.